1.
The following is a GGA-PBE calculation of crystalline ZrCr2CuSb at its relaxed geometry, from Alexandria via LeMat-Bulk.

POSCAR file:
```
ZrCr2CuSb
1.0
-1.815 4.361 1.271
-2.149 0.305 -4.113
-3.940 -2.193 1.896
Sb Cu Zr Cr
1 1 1 2
direct
0.000 0.000 0.000 Sb
0.000 0.500 0.000 Cu
0.500 0.500 0.500 Zr
0.000 0.000 0.500 Cr
0.500 0.000 0.000 Cr
```

Values from the calculation:
DOS at the Fermi energy (states/eV per cell): 9.4
Excess energy over the best structure of this formula in the dataset (eV/f.u.): 0.00
Calculated density (g cm⁻³): 5.68
Formation energy (no corrections) (eV per atom): 1.098

2.
The following is a GGA-PBE calculation of crystalline V4TcGe at its relaxed geometry, from Alexandria via LeMat-Bulk.

POSCAR file:
```
V4TcGe
1.0
4.180 0.000 0.000
0.000 5.058 0.000
-2.090 0.000 8.683
V Tc Ge
8 2 2
direct
0.865 0.243 0.729 V
0.135 0.743 0.271 V
0.432 0.954 0.865 V
0.568 0.454 0.135 V
0.708 0.540 0.415 V
0.292 0.040 0.585 V
0.717 0.024 0.434 V
0.283 0.524 0.566 V
0.573 0.925 0.147 Tc
0.427 0.425 0.853 Tc
0.858 0.748 0.717 Ge
0.142 0.248 0.283 Ge
```

Values from the calculation:
DOS at the Fermi energy (states/eV per cell): 11.6
Calculated density (g cm⁻³): 6.77
E_form (kJ/mol of formula units): 93

3.
The following is a GGA-PBE calculation of crystalline AgP2Br at its relaxed geometry, from Alexandria via LeMat-Bulk.

POSCAR file:
```
AgP2Br
1.0
7.843 -0.165 0.000
-6.274 4.709 0.000
0.000 0.000 2.829
Ag Br P
1 1 2
direct
0.500 0.000 0.500 Ag
0.000 0.500 0.500 Br
0.000 0.000 0.000 P
0.500 0.500 0.000 P
```

Values from the calculation:
DOS at the Fermi energy (states/eV per cell): 1.9
Excess energy over the best structure of this formula in the dataset (eV/f.u.): 2.59
Calculated density (g cm⁻³): 4.08
Formation energy (no corrections) (eV per atom): 0.670

4.
The following is a GGA-PBE calculation of crystalline YFe2Rh at its relaxed geometry, from Alexandria via LeMat-Bulk.

POSCAR file:
```
YFe2Rh
1.0
-1.372 -0.854 2.561
-3.186 -0.753 -1.958
1.811 -5.456 -0.849
Fe Rh Y
2 1 1
direct
0.000 0.000 0.057 Fe
0.000 0.000 0.443 Fe
0.500 0.500 0.250 Rh
0.500 0.500 0.750 Y
```

Values from the calculation:
DOS at the Fermi energy (states/eV per cell): 4.2
Calculated density (g cm⁻³): 7.51
E_form (kJ/mol of formula units): 45

5.
The following is a GGA-PBE calculation of crystalline CeInAs at its relaxed geometry, from Alexandria via LeMat-Bulk.

POSCAR file:
```
CeInAs
1.0
4.991 0.000 0.000
2.496 4.323 0.000
2.496 1.441 7.958
Ce As In
2 2 2
direct
0.595 0.595 0.216 Ce
0.405 0.405 0.784 Ce
0.284 0.284 0.148 As
0.716 0.716 0.852 As
0.834 0.834 0.498 In
0.166 0.166 0.502 In
```

Values from the calculation:
DOS at the Fermi energy (states/eV per cell): 12.1
Calculated density (g cm⁻³): 6.38
E_form (kJ/mol of formula units): -200

6.
The following is a GGA-PBE calculation of crystalline Pr2HfSb3Pd4 at its relaxed geometry, from Alexandria via LeMat-Bulk.

POSCAR file:
```
Pr2HfSb3Pd4
1.0
-2.283 3.661 1.140
-3.731 -2.427 0.321
2.251 -2.011 10.972
Pr Hf Sb Pd
2 1 3 4
direct
0.500 0.000 0.226 Pr
0.000 0.500 0.774 Pr
0.500 0.500 0.500 Hf
0.000 0.000 0.500 Sb
0.500 0.000 0.866 Sb
0.000 0.500 0.134 Sb
0.500 0.500 0.000 Pd
0.000 0.000 0.000 Pd
0.500 0.000 0.635 Pd
0.000 0.500 0.365 Pd
```

Values from the calculation:
DOS at the Fermi energy (states/eV per cell): 6.3
Calculated density (g cm⁻³): 9.17
Formation energy (no corrections) (eV per atom): -0.831

7.
The following is a GGA-PBE calculation of crystalline Cs2RhBr6Cl at its relaxed geometry, from Alexandria via LeMat-Bulk.

POSCAR file:
```
Cs2RhBr6Cl
1.0
-2.137 6.357 3.815
-6.612 -3.430 2.012
-1.805 -0.614 7.815
Cs Rh Br Cl
2 1 6 1
direct
0.750 0.250 0.500 Cs
0.250 0.750 0.500 Cs
0.000 0.000 0.000 Rh
0.211 0.211 0.579 Br
0.789 0.789 0.421 Br
0.232 0.232 0.000 Br
0.768 0.768 0.000 Br
0.768 0.232 0.000 Br
0.232 0.768 0.000 Br
0.500 0.500 0.000 Cl
```

Values from the calculation:
DOS at the Fermi energy (states/eV per cell): 26.1
Calculated density (g cm⁻³): 4.17
Formation energy (no corrections) (eV per atom): -0.813

8.
The following is a GGA-PBE calculation of crystalline Zr3Ru5N12 at its relaxed geometry, from Alexandria via LeMat-Bulk.

POSCAR file:
```
Zr3Ru5N12
1.0
-4.854 9.412 -1.280
-2.243 -3.870 9.684
10.547 1.278 -0.964
Zr Ru N
12 20 48
direct
0.750 0.375 0.125 Zr
0.875 0.750 0.125 Zr
0.375 0.750 0.625 Zr
0.250 0.125 0.375 Zr
0.875 0.125 0.250 Zr
0.375 0.625 0.250 Zr
0.625 0.375 0.750 Zr
0.125 0.875 0.750 Zr
0.750 0.875 0.625 Zr
0.625 0.250 0.375 Zr
0.125 0.250 0.875 Zr
0.250 0.625 0.875 Zr
0.125 0.375 0.250 Ru
0.000 0.500 0.000 Ru
0.000 0.000 0.000 Ru
0.375 0.250 0.125 Ru
0.500 0.000 0.500 Ru
0.500 0.500 0.000 Ru
0.125 0.750 0.375 Ru
0.750 0.125 0.875 Ru
0.750 0.625 0.375 Ru
0.375 0.125 0.750 Ru
0.625 0.875 0.250 Ru
0.500 0.500 0.500 Ru
0.500 0.000 0.000 Ru
0.000 0.000 0.500 Ru
0.250 0.375 0.625 Ru
0.250 0.875 0.125 Ru
0.000 0.500 0.500 Ru
0.875 0.250 0.625 Ru
0.625 0.750 0.875 Ru
0.875 0.625 0.750 Ru
0.713 0.125 0.034 N
0.321 0.534 0.409 N
0.966 0.375 0.287 N
0.534 0.213 0.125 N
0.589 0.713 0.679 N
0.966 0.591 0.179 N
0.321 0.787 0.411 N
0.091 0.911 0.125 N
0.591 0.966 0.679 N
0.713 0.589 0.179 N
0.787 0.466 0.375 N
0.821 0.909 0.034 N
0.125 0.713 0.534 N
0.375 0.409 0.089 N
0.089 0.909 0.375 N
0.411 0.125 0.591 N
0.089 0.179 0.213 N
0.466 0.679 0.091 N
0.821 0.911 0.287 N
0.125 0.411 0.091 N
0.375 0.966 0.787 N
0.591 0.625 0.411 N
0.909 0.821 0.534 N
0.787 0.321 0.911 N
0.409 0.375 0.589 N
0.091 0.179 0.466 N
0.213 0.679 0.089 N
0.179 0.089 0.713 N
0.625 0.034 0.213 N
0.875 0.589 0.909 N
0.534 0.321 0.909 N
0.589 0.875 0.409 N
0.911 0.821 0.787 N
0.911 0.091 0.625 N
0.875 0.287 0.466 N
0.179 0.091 0.966 N
0.625 0.591 0.911 N
0.409 0.034 0.321 N
0.287 0.411 0.821 N
0.213 0.534 0.625 N
0.909 0.089 0.875 N
0.679 0.213 0.589 N
0.466 0.787 0.875 N
0.034 0.409 0.821 N
0.411 0.287 0.321 N
0.034 0.625 0.713 N
0.679 0.466 0.591 N
0.287 0.875 0.966 N
```

Values from the calculation:
DOS at the Fermi energy (states/eV per cell): 51.6
Calculated density (g cm⁻³): 6.73
Formation energy (no corrections) (eV per atom): -0.072

9.
The following is a GGA-PBE calculation of crystalline Cd2In2Au7 at its relaxed geometry, from Alexandria via LeMat-Bulk.

POSCAR file:
```
Cd2In2Au7
1.0
5.794 -0.002 -0.187
0.003 7.510 0.003
-0.548 -0.002 5.772
Cd In Au
2 2 7
direct
0.822 0.500 0.822 Cd
0.178 0.500 0.178 Cd
0.687 0.000 0.313 In
0.313 0.000 0.687 In
0.000 0.270 0.500 Au
0.500 0.730 0.000 Au
0.000 0.730 0.500 Au
0.500 0.270 0.000 Au
0.000 0.000 0.000 Au
0.500 0.695 0.500 Au
0.500 0.305 0.500 Au
```

Values from the calculation:
DOS at the Fermi energy (states/eV per cell): 3.9
Excess energy over the best structure of this formula in the dataset (eV/f.u.): 1.83
Calculated density (g cm⁻³): 12.16
E_form (kJ/mol of formula units): 30

10.
The following is a GGA-PBE calculation of crystalline MnCoSb at its relaxed geometry, from Alexandria via LeMat-Bulk.

POSCAR file:
```
MnCoSb
1.0
-3.804 -1.603 -0.936
-1.969 -2.195 7.267
-0.076 3.293 0.968
Sb Mn Co
2 2 2
direct
0.912 0.804 0.207 Sb
0.088 0.196 0.793 Sb
0.823 0.466 0.161 Mn
0.177 0.534 0.839 Mn
0.452 0.349 0.476 Co
0.548 0.651 0.524 Co
```

Values from the calculation:
DOS at the Fermi energy (states/eV per cell): 9.6
Calculated density (g cm⁻³): 7.59
Formation energy (no corrections) (eV per atom): 0.118

11.
The following is a GGA-PBE calculation of crystalline MgIr4Os at its relaxed geometry, from Alexandria via LeMat-Bulk.

POSCAR file:
```
MgIr4Os
1.0
0.000 3.643 3.643
3.643 0.000 3.643
3.643 3.643 0.000
Mg Ir Os
1 4 1
direct
0.750 0.750 0.750 Mg
0.875 0.375 0.375 Ir
0.375 0.375 0.875 Ir
0.375 0.875 0.375 Ir
0.375 0.375 0.375 Ir
0.000 0.000 0.000 Os
```

Values from the calculation:
DOS at the Fermi energy (states/eV per cell): 8.3
Calculated density (g cm⁻³): 16.89
E_form (kJ/mol of formula units): 251

12.
The following is a GGA-PBE calculation of crystalline Ca2MoRu2 at its relaxed geometry, from Alexandria via LeMat-Bulk.

POSCAR file:
```
Ca2MoRu2
1.0
-0.423 -6.443 0.344
5.499 -0.180 3.398
-2.596 0.396 4.221
Ru Mo Ca
4 2 4
direct
0.366 0.866 0.000 Ru
0.866 0.634 0.000 Ru
0.634 0.134 0.000 Ru
0.134 0.366 0.000 Ru
0.000 0.000 0.000 Mo
0.500 0.500 0.000 Mo
0.179 0.679 0.500 Ca
0.679 0.821 0.500 Ca
0.821 0.321 0.500 Ca
0.321 0.179 0.500 Ca
```

Values from the calculation:
DOS at the Fermi energy (states/eV per cell): 10.3
Excess energy over the best structure of this formula in the dataset (eV/f.u.): 0.00
Calculated density (g cm⁻³): 6.04
E_form (kJ/mol of formula units): 96